30
Lattice="5.410 0.114 -0.099 2.804 4.629 -0.082 -0.335 -0.246 14.360" Properties=species:S:1:pos:R:3 comment="PBE+U Hf2Mn4O9, relaxed" magnetic_moment_mub_per_cell=0.00 crystal_system=monoclinic volume_a3_per_atom=11.83 total_energy_ev_per_cell=-258.81 pbc="T T T"
O 1.574 2.753 13.071
Mn 2.483 1.321 9.948
Hf 2.559 4.345 12.229
O 6.188 1.755 5.921
Hf 5.320 0.152 1.950
Mn 5.294 2.938 11.412
O 4.498 4.459 8.298
O 7.316 3.463 3.442
Mn 2.427 1.349 14.138
O 1.379 0.036 3.552
Mn 5.285 3.024 7.221
O 3.381 0.038 5.881
O 4.465 4.325 13.111
Mn 5.396 3.176 4.231
O 4.171 1.351 8.192
O 4.429 1.482 13.162
O 6.500 4.461 10.627
O 0.563 1.034 10.737
O 1.691 2.742 8.258
O 3.414 0.172 1.068
Mn 5.452 3.147 0.041
Mn 2.585 1.559 2.767
O 6.305 1.743 1.107
O 3.450 3.015 1.017
Mn 2.594 1.472 6.958
Hf 2.631 4.397 9.146
O 4.526 1.439 3.496
O 3.353 3.058 10.683
O 3.708 3.146 5.987
Hf 5.248 0.100 5.033